Material: Ho5GaRu
Method: DFT, PBE
State: optimized geometry

Cell: 9.2706 7.2692 11.5393 Å, 90.00 106.70 90.00°
Closest atoms and distances in Å follow each position.
Space group C2/c (No. 15)
Unique sites:
1 Ho 0.0000 0.0142 0.2500 x4  2 Ru 2.89, 1 Ga 2.93
2 Ho 0.1221 0.3335 0.5613 x8  1 Ru 2.68
3 Ho 0.2446 0.3344 0.8725 x8  1 Ru 2.69, 1 Ga 2.93
4 Ga 0.0000 0.4171 0.2500 x4  5 Ho 2.93-3.28
5 Ru 0.0000 0.0000 0.0000 x4  6 Ho 2.68-2.89

---

Material: Ho2Ga4Ru
Method: DFT, PBE
State: optimized geometry

Cell: 4.2207 22.2110 3.3414 Å, 90.00 90.00 90.00°
Closest atoms and distances in Å follow each position.
Space group Cmmm (No. 65)
Unique sites:
1 Ho 0.0000 0.1866 0.0000 x4  4 Ga 2.99-3.19, 2 Ho 3.34
2 Ga 0.0000 0.0642 0.5000 x4  2 Ru 2.55, 5 Ga 2.76-2.85
3 Ga 0.0000 0.4088 0.0000 x4  2 Ru 2.63, 4 Ga 2.76
4 Ru 0.0000 0.5000 0.5000 x2  8 Ga 2.55-2.63

---

Material: HoGa4Ru
Method: DFT, PBE
State: optimized geometry

Cell: 7.2908 7.2908 5.1405 Å, 90.00 90.00 90.00°
Closest atoms and distances in Å follow each position.
Space group I4/mmm (No. 139)
Unique sites:
1 Ho 0.0000 0.0000 0.0000 x2  2 Ru 2.57
2 Ga 0.0000 0.3305 0.5000 x8  1 Ru 2.41, 1 Ga 2.47
3 Ru 0.0000 0.0000 0.5000 x2  4 Ga 2.41, 2 Ho 2.57

---

Material: Ho6GaRu2
Method: DFT, PBE
State: optimized geometry

Cell: 9.2482 9.3381 10.3291 Å, 90.00 90.00 90.00°
Closest atoms and distances in Å follow each position.
Space group Immm (No. 71)
Unique sites:
1 Ho 0.0000 0.1974 0.2425 x8  1 Ru 2.76
2 Ho 0.1887 0.5000 0.1682 x8  3 Ru 2.72-2.97
3 Ho 0.2180 0.3202 0.5000 x8  3 Ru 2.92-2.95, 1 Ga 3.10
4 Ga 0.0000 0.0000 0.0000 x2  2 Ru 3.00, 8 Ho 3.10-3.11
5 Ga 0.0000 0.0000 0.5000 x2  12 Ho 3.24-3.61
6 Ru 0.0000 0.3214 0.0000 x4  8 Ho 2.76-2.97, 1 Ga 3.00
7 Ru 0.0000 0.5000 0.3705 x4  1 Ru 2.68, 6 Ho 2.72-2.95

---

Number 1: ΔE_f -0.180 eV per atom. Number 2: ΔE_f -0.007 eV per atom. Number 3: ΔE_f -0.112 eV per atom. Number 4: ΔE_f -0.402 eV per atom.